Density functional theory data (PBE) for a geometry-optimized Dy5Ho4Er2 structure.

D(E_F) ... 16.6 states/eV per cell
Crystal system ... monoclinic
ΔE_f ... 2.0 eV/f.u.
Space-group type ... C2/m, No. 12
Energy above the lowest structure with this stoichiometry ... 0.000 eV/atom

Cell: 6.782 6.782 9.489 Å, 70.11 70.11 61.26°
Fractional positions:
Dy1 0.631 0.159 0.819
Dy2 0.369 0.841 0.181
Dy3 0.000 0.000 0.500
Dy4 0.159 0.631 0.819
Dy5 0.841 0.369 0.181
Ho1 0.349 0.349 0.500
Ho2 0.651 0.651 0.500
Ho3 0.643 0.643 0.852
Ho4 0.357 0.357 0.148
Er1 0.130 0.130 0.851
Er2 0.870 0.870 0.149